No. 1
## CsGaTeSe4 (PBE-GGA)

Data for a relaxed CsGaTeSe4 crystal.

Lattice parameters (Å, degrees): 6.8143 7.3018 10.0523 90.00 109.64 90.00
With the nearest neighbours (Å) after each atom.
Positions (direct):
Ga1 0.2304 0.7500 0.3375  4 Se 2.38-2.45
Ga2 0.7696 0.2500 0.6625  4 Se 2.38-2.45
Cs1 0.7323 0.7500 0.9425  2 Se 3.49-3.69
Cs2 0.2677 0.2500 0.0575  2 Se 3.49-3.69
Se1 0.0108 0.5081 0.6974  1 Ga 2.45
Se2 0.5303 0.2500 0.4208  1 Ga 2.43, 1 Te 2.60
Se3 0.4616 0.7500 0.2047  1 Ga 2.38
Se4 0.4697 0.7500 0.5792  1 Ga 2.43, 1 Te 2.60
Se5 0.9892 0.4919 0.3026  1 Ga 2.45
Se6 0.9892 0.0081 0.3026  1 Ga 2.45
Se7 0.0108 0.9919 0.6974  1 Ga 2.45
Se8 0.5384 0.2500 0.7953  1 Ga 2.38
Te1 0.7807 0.7500 0.4849  3 Se 2.60-2.81
Te2 0.2193 0.2500 0.5151  3 Se 2.60-2.81

Output
**SG**: P2_1/m

***

No. 2
## CsThGaSe4 (PBE-GGA)

Data for a relaxed CsThGaSe4 crystal.

Lattice parameters (Å, degrees): 6.8231 7.1018 9.9908 90.00 109.10 90.00
With the nearest neighbours (Å) after each atom.
Positions (direct):
Se1 0.4212 0.7500 0.1801  1 Ga 2.39
Se2 0.5547 0.2500 0.4198  1 Ga 2.41
Se3 0.9782 0.4879 0.3037  1 Ga 2.44
Se4 0.5788 0.2500 0.8199  1 Ga 2.39
Se5 0.9782 0.0121 0.3037  1 Ga 2.44
Se6 0.0218 0.9879 0.6963  1 Ga 2.44
Se7 0.4453 0.7500 0.5802  1 Ga 2.41
Se8 0.0218 0.5121 0.6963  1 Ga 2.44
Cs1 0.2513 0.2500 0.0564  8 Se 3.54-3.93
Cs2 0.7487 0.7500 0.9436  8 Se 3.54-3.93
Ga1 0.7793 0.2500 0.6634  4 Se 2.39-2.44
Ga2 0.2207 0.7500 0.3366  4 Se 2.39-2.44
Th1 0.2318 0.2500 0.5518  6 Se 2.91-3.03
Th2 0.7682 0.7500 0.4482  6 Se 2.91-3.03

Output
**SG**: P2_1/m

***

No. 3
## Cs3TmGa2Se6 (PBE-GGA)

Data for a relaxed Cs3TmGa2Se6 crystal.

Lattice parameters (Å, degrees): 7.7276 7.7276 9.7390 90.00 90.00 120.00
With the nearest neighbours (Å) after each atom.
Positions (direct):
Se1 0.6811 0.8405 0.3048  1 Ga 2.33
Se2 0.1595 0.3189 0.3048  1 Ga 2.33
Se3 0.1595 0.8405 0.3048  1 Ga 2.33
Se4 0.3189 0.1595 0.6952  1 Ga 2.33
Se5 0.8405 0.1595 0.6952  1 Ga 2.33
Se6 0.8405 0.6811 0.6952  1 Ga 2.33
Cs1 0.6667 0.3333 0.2966  1 Ga 3.71, 6 Se 3.87
Cs2 0.3333 0.6667 0.7034  1 Ga 3.71, 6 Se 3.87
Cs3 0.0000 0.0000 0.0000  6 Se 3.66
Ga1 0.3333 0.6667 0.3228  3 Se 2.33
Ga2 0.6667 0.3333 0.6772  3 Se 2.33
Tm1 0.0000 0.0000 0.5000  6 Se 2.86

Output
**SG**: P-3m1

***

| no. | calculated total energy (eV/atom) | total magnetic moment (Bohr magnetons per cell) |
| --- | --- | --- |
| 1 | -3.4767 | 0.00 |
| 2 | -4.9118 | 0.00 |
| 3 | -3.9081 | 0.00 |